# 1
The following is a DFT calculation (PBE-GGA) of Ta3SnIr after structural relaxation. Values from VASP.

Properties
The calculation puts the polymorph energy (0 for the lowest one) at 0 meV per atom. The formation energy is 0.857 eV/atom. The space-group type is Pm-3m. For the final energy, the calculation gives -0.32439 hartree per atom.

The structure in Quantum ESPRESSO input format:
```
&SYSTEM
  ibrav = 0, nat = 5, ntyp = 3
/
ATOMIC_SPECIES
Ta 180.95 Ta.upf
Sn 118.71 Sn.upf
Ir 192.22 Ir.upf
CELL_PARAMETERS angstrom
4.8740 0.0000 0.0000
0.0000 4.8740 0.0000
0.0000 0.0000 4.8740
ATOMIC_POSITIONS crystal
Ta 0.0000 0.0000 0.5000
Ta 0.0000 0.5000 0.0000
Ta 0.5000 0.0000 0.0000
Sn 0.5000 0.5000 0.5000
Ir 0.0000 0.0000 0.0000
```

# 2
The following is a DFT calculation (PBE-GGA) of BaCaGa2P after structural relaxation. Values from VASP.

Properties
The formation energy is 0.757 eV/atom. The space-group type is P4/mmm. For the final energy, the calculation gives -0.08529 hartree per atom.

The structure in Quantum ESPRESSO input format:
```
&SYSTEM
  ibrav = 0, nat = 5, ntyp = 4
/
ATOMIC_SPECIES
Ba 137.33 Ba.upf
Ca 40.08 Ca.upf
Ga 69.72 Ga.upf
P 30.97 P.upf
CELL_PARAMETERS angstrom
5.3504 0.0000 0.0000
0.0000 5.3504 0.0000
0.0000 0.0000 6.8306
ATOMIC_POSITIONS crystal
Ba 0.0000 0.0000 0.0000
Ca 0.0000 0.0000 0.5000
Ga 0.0000 0.5000 0.5000
Ga 0.5000 0.0000 0.5000
P 0.5000 0.5000 0.0000
```

# 3
The following is a DFT calculation (PBE-GGA) of ZrIn2Mo after structural relaxation. Values from VASP.

Properties
The calculation puts the polymorph energy (0 for the lowest one) at 390 meV per atom. The formation energy is 0.426 eV/atom. The space-group type is I-42d. For the final energy, the calculation gives -0.21270 hartree per atom.

The structure in Quantum ESPRESSO input format:
```
&SYSTEM
  ibrav = 0, nat = 8, ntyp = 3
/
ATOMIC_SPECIES
Zr 91.22 Zr.upf
In 114.82 In.upf
Mo 95.94 Mo.upf
CELL_PARAMETERS angstrom
-3.8762 3.8762 2.9338
3.8762 -3.8762 2.9338
3.8762 3.8762 -2.9338
ATOMIC_POSITIONS crystal
Zr 0.0000 0.0000 0.0000
Zr 0.7500 0.2500 0.5000
In 0.1425 0.6250 0.0175
In 0.3750 0.3925 0.5175
In 0.6075 0.1250 0.9825
In 0.8750 0.8575 0.4825
Mo 0.2500 0.7500 0.5000
Mo 0.5000 0.5000 0.0000
```

# 4
The following is a DFT calculation (PBE-GGA) of Ba3LaNd2Te6 after structural relaxation. Values from VASP.

Properties
The calculation puts the uncorrected formation energy at -1607.6 meV/atom. The space-group type is C2/m. For the final energy, the calculation gives -0.17876 hartree per atom.

The structure in Quantum ESPRESSO input format:
```
&SYSTEM
  ibrav = 0, nat = 12, ntyp = 4
/
ATOMIC_SPECIES
Ba 137.33 Ba.upf
La 138.91 La.upf
Nd 144.24 Nd.upf
Te 127.60 Te.upf
CELL_PARAMETERS angstrom
4.0632 -7.0279 0.0000
4.0632 7.0279 0.0000
-2.7070 0.0000 7.9154
ATOMIC_POSITIONS crystal
Ba 0.0000 0.0000 0.0000
Ba 0.3342 0.6658 0.0000
Ba 0.6658 0.3342 0.0000
La 0.5000 0.5000 0.5000
Nd 0.1665 0.8335 0.5000
Nd 0.8335 0.1665 0.5000
Te 0.0886 0.4247 0.2739
Te 0.2392 0.2392 0.7253
Te 0.4247 0.0886 0.2739
Te 0.5753 0.9114 0.7261
Te 0.7608 0.7608 0.2747
Te 0.9114 0.5753 0.7261
```

# 5
The following is a DFT calculation (PBE-GGA) of MnNi2As after structural relaxation. Values from VASP.

Properties
The formation energy is -0.071 eV/atom. The space-group type is C2/m. For the final energy, the calculation gives -0.23578 hartree per atom.

The structure in Quantum ESPRESSO input format:
```
&SYSTEM
  ibrav = 0, nat = 4, ntyp = 3
/
ATOMIC_SPECIES
Mn 54.94 Mn.upf
Ni 58.69 Ni.upf
As 74.92 As.upf
CELL_PARAMETERS angstrom
4.0772 -1.4843 0.0000
4.0772 1.4843 0.0000
-1.0352 0.0000 4.1944
ATOMIC_POSITIONS crystal
Mn 0.0000 0.0000 0.0000
Ni 0.2478 0.2478 0.7513
Ni 0.7522 0.7522 0.2487
As 0.5000 0.5000 0.5000
```

# 6
The following is a DFT calculation (PBE-GGA) of TlTePbBr after structural relaxation. Values from VASP.

Properties
The calculation puts the uncorrected formation energy at -458.2 meV/atom. The calculation puts the polymorph energy (0 for the lowest one) at 132 meV per atom. The space-group type is F-43m. For the final energy, the calculation gives -0.11688 hartree per atom.

The structure in Quantum ESPRESSO input format:
```
&SYSTEM
  ibrav = 0, nat = 4, ntyp = 4
/
ATOMIC_SPECIES
Tl 204.38 Tl.upf
Te 127.60 Te.upf
Pb 207.20 Pb.upf
Br 79.90 Br.upf
CELL_PARAMETERS angstrom
0.0000 3.9894 3.9894
3.9894 0.0000 3.9894
3.9894 3.9894 0.0000
ATOMIC_POSITIONS crystal
Tl 0.0000 0.0000 0.0000
Te 0.7500 0.7500 0.7500
Pb 0.5000 0.5000 0.5000
Br 0.2500 0.2500 0.2500
```